# Na2AlHgBi

A relaxed structure of Na2AlHgBi (PBE, Alexandria).

Unit cell a=5.9102 b=5.7973 c=5.9102 alpha=90.00 beta=90.00 gamma=90.00
Atoms (fractional coordinates):
1 Bi 0.0000 0.0000 0.0000
2 Hg 0.0000 0.5000 0.0000
3 Al 0.5000 0.5000 0.5000
4 Na 0.0000 0.0000 0.5000
5 Na 0.5000 0.0000 0.0000

Computed properties:
The total energy comes out at -1.757 eV per atom. The value obtained for the formation energy from the elements is 0.356 eV/atom. The crystal system is tetragonal.

# KHfCo2Pd

A relaxed structure of KHfCo2Pd (PBE, Alexandria).

Unit cell a=4.3717 b=4.8543 c=4.3717 alpha=90.00 beta=90.00 gamma=90.00
Last column: magnetic moment on the atom in μB.
Atoms (fractional coordinates):
1 Co 0.0000 0.0000 0.5000  0.60
2 Co 0.5000 0.0000 0.0000  0.90
3 Pd 0.0000 0.5000 0.0000  -0.06
4 Hf 0.5000 0.5000 0.5000  -0.23
5 K 0.0000 0.0000 0.0000  -0.02

Computed properties:
The total energy comes out at -4.272 eV per atom. The value obtained for the formation energy from the elements is 1.819 eV/atom. The crystal system is tetragonal.

# TbDySc

A relaxed structure of TbDySc (PBE, Alexandria).

Unit cell a=4.9241 b=4.8587 c=7.7014 alpha=71.60 beta=90.00 gamma=90.00
Atoms (fractional coordinates):
1 Dy 0.1569 0.4826 0.6316
2 Dy 0.6569 0.9865 0.6245
3 Sc 0.6568 0.6528 0.2911
4 Sc 0.1569 0.8161 0.9650
5 Tb 0.6569 0.3150 0.9668
6 Tb 0.1569 0.1539 0.2893

Computed properties:
The total energy comes out at -5.144 eV per atom. The energy above the lowest structure with this stoichiometry is 0.013 eV/atom. The value obtained for the formation energy from the elements is 0.044 eV/atom. The crystal system is orthorhombic.

# CaTcCl2

A relaxed structure of CaTcCl2 (PBE, Alexandria).

Unit cell a=3.2406 b=3.2406 c=8.5348 alpha=90.00 beta=90.00 gamma=90.00
Atoms (fractional coordinates):
1 Tc 0.0000 0.0000 0.4654
2 Ca 0.5000 0.5000 0.7478
3 Cl 0.0000 0.0000 0.9313
4 Cl 0.5000 0.5000 0.3556

Computed properties:
The total energy comes out at -4.562 eV per atom. The energy above the lowest structure with this stoichiometry is 0.000 eV/atom. The crystal system is tetragonal.

# SmCuNiAs2

A relaxed structure of SmCuNiAs2 (PBE, Alexandria).

Unit cell a=3.9935 b=3.9935 c=6.1629 alpha=108.90 beta=108.90 gamma=90.00
Atoms (fractional coordinates):
1 Sm 0.0000 0.0000 0.0000
2 As 0.6271 0.6271 0.2543
3 As 0.3729 0.3729 0.7457
4 Cu 0.2500 0.7500 0.5000
5 Ni 0.7500 0.2500 0.5000

Computed properties:
The total energy comes out at -5.452 eV per atom. The value obtained for the formation energy from the elements is -0.673 eV/atom. The crystal system is tetragonal.

# Al2TlOs

A relaxed structure of Al2TlOs (PBE, Alexandria).

Unit cell a=3.0689 b=3.0689 c=8.0356 alpha=90.00 beta=90.00 gamma=90.00
Atoms (fractional coordinates):
1 Al 0.0000 0.0000 0.4246
2 Al 0.0000 0.0000 0.0754
3 Os 0.5000 0.5000 0.2500
4 Tl 0.5000 0.5000 0.7500

Computed properties:
The total energy comes out at -5.318 eV per atom. The energy above the lowest structure with this stoichiometry is 0.037 eV/atom. The value obtained for the formation energy from the elements is -0.048 eV/atom. The crystal system is tetragonal.

# TlCr2Si

A relaxed structure of TlCr2Si (PBE, Alexandria).

Unit cell a=6.5799 b=6.5799 c=3.7808 alpha=73.29 beta=73.29 gamma=27.54
Last column: magnetic moment on the atom in μB.
Atoms (fractional coordinates):
1 Cr 0.0097 0.0097 0.9902  2.60
2 Cr 0.8180 0.8180 0.6820  3.18
3 Tl 0.1967 0.1967 0.3034  -0.03
4 Si 0.4756 0.4756 0.5244  -0.14

Computed properties:
The total energy comes out at -6.221 eV per atom. The crystal system is orthorhombic.

# K3Rb2TlI6

A relaxed structure of K3Rb2TlI6 (PBE, Alexandria).

Unit cell a=5.1263 b=10.2820 c=11.4866 alpha=103.08 beta=102.89 gamma=90.00
Atoms (fractional coordinates):
1 I 0.3341 0.9263 0.6682
2 I 0.0028 0.7529 0.0057
3 I 0.9972 0.2471 0.9943
4 I 0.6642 0.5887 0.3284
5 I 0.6659 0.0737 0.3318
6 I 0.3358 0.4113 0.6716
7 K 0.1667 0.8335 0.3334
8 K 0.8333 0.1665 0.6666
9 K 0.5000 0.5000 0.0000
10 Rb 0.8343 0.6699 0.6686
11 Rb 0.1657 0.3301 0.3314
12 Tl 0.5000 0.0000 0.0000

Computed properties:
The total energy comes out at -2.758 eV per atom. The crystal system is monoclinic.